(1)
First-principles (GGA-PBE) data for Ce2Er8Sc after structural relaxation, as listed in Alexandria.

Properties
For the calculated volume, the calculation gives 31.5 A^3/atom. Its total DFT energy (no corrections) is -4.74 eV per atom.

Cell lengths 5.5606, 9.7268, 9.7268 Å; angles 41.22, 92.02, 92.02 degrees
Atoms (fractional coordinates):
Er1 0.7388 0.8623 0.3932
Er2 0.7665 0.8177 0.8177
Er3 0.2335 0.1823 0.1823
Er4 0.2355 0.5470 0.5470
Er5 0.7645 0.4530 0.4530
Er6 0.7388 0.3932 0.8623
Er7 0.2612 0.1377 0.6068
Er8 0.2612 0.6068 0.1377
Sc1 0.0000 0.0000 0.0000
Ce1 0.2595 0.7166 0.7166
Ce2 0.7405 0.2834 0.2834


(2)
First-principles (GGA-PBE) data for K4Au2IBr after structural relaxation, as listed in Alexandria.

Properties
For the calculated volume, the calculation gives 40.5 A^3/atom. The energy relative to the elements, uncorrected comes out at -928 meV/atom.

Cell lengths 4.8347, 8.4459, 8.4105 Å; angles 70.76, 90.00, 90.00 degrees
Atoms (fractional coordinates):
K1 0.0000 0.7480 0.7593
K2 0.5000 0.7545 0.2401
K3 0.0000 0.2520 0.2407
K4 0.5000 0.2455 0.7599
Br1 0.5000 0.5000 0.0000
Au1 0.5000 0.0000 0.5000
Au2 0.0000 0.0000 0.0000
I1 0.0000 0.5000 0.5000


(3)
First-principles (GGA-PBE) data for NaTl4Sn after structural relaxation, as listed in Alexandria.

Properties
For the calculated volume, the calculation gives 31.9 A^3/atom. The energy above the most stable polymorph in this dataset is 94.8 meV per atom.

Cell lengths 6.4654, 6.4654, 6.4654 Å; angles 60.00, 60.00, 60.00 degrees
Atoms (fractional coordinates):
Tl1 0.6251 0.1248 0.6251
Tl2 0.1248 0.6251 0.6251
Tl3 0.6251 0.6251 0.6251
Tl4 0.6251 0.6251 0.1248
Sn1 0.0000 0.0000 0.0000
Na1 0.2500 0.2500 0.2500


(4)
First-principles (GGA-PBE) data for HoMgInGa after structural relaxation, as listed in Alexandria.

Properties
For the calculated volume, the calculation gives 22.2 A^3/atom. The energy above the most stable polymorph in this dataset is 0.0 meV per atom.

Cell lengths 4.3603, 4.4367, 4.5810 Å; angles 90.00, 90.00, 90.00 degrees
Atoms (fractional coordinates):
Ga1 0.0000 0.0000 0.0000
Ho1 0.5000 0.5000 0.0000
Mg1 0.5000 0.0000 0.5000
In1 0.0000 0.5000 0.5000